1.
Material: SrLi2Tc
Method: DFT, PBEsol
State: relaxed

```
data_SrLi2Tc
_symmetry_space_group_name_H-M 'P 1'
_symmetry_Int_Tables_number 1
_cell_length_a 3.304
_cell_length_b 3.304
_cell_length_c 7.817
_cell_angle_alpha 90.00
_cell_angle_beta 90.00
_cell_angle_gamma 90.00
loop_
_symmetry_equiv_pos_as_xyz
'x,y,z'
loop_
_atom_site_label
_atom_site_type_symbol
_atom_site_fract_x
_atom_site_fract_y
_atom_site_fract_z
Sr1 Sr 0.000 0.000 0.000
Li1 Li 0.000 0.000 0.430
Li2 Li 0.500 0.500 0.620
Tc1 Tc 0.500 0.500 0.263
```

## Properties
* spin magnetization: 1.66 μB per formula unit
* VASP energy: -0.1325 Ha/atom
* DOS at the Fermi energy: 2.9 states/eV/f.u.
* calculated formation energy: 654.7 meV/atom

2.
Material: SrLi2Tc
Method: DFT, PBEsol
State: relaxed

```
data_SrLi2Tc
_symmetry_space_group_name_H-M 'P 1'
_symmetry_Int_Tables_number 1
_cell_length_a 10.813
_cell_length_b 10.813
_cell_length_c 10.813
_cell_angle_alpha 15.39
_cell_angle_beta 15.39
_cell_angle_gamma 15.39
loop_
_symmetry_equiv_pos_as_xyz
'x,y,z'
loop_
_atom_site_label
_atom_site_type_symbol
_atom_site_fract_x
_atom_site_fract_y
_atom_site_fract_z
Sr1 Sr 0.000 0.000 0.000
Li1 Li 0.236 0.236 0.236
Li2 Li 0.764 0.764 0.764
Tc1 Tc 0.500 0.500 0.500
```

## Properties
* spin magnetization: 0.33 μB per formula unit
* VASP energy: -0.1245 Ha/atom
* DOS at the Fermi energy: 4.6 states/eV/f.u.
* calculated formation energy: 872.7 meV/atom

3.
Material: SrLi2Tc
Method: DFT, PBEsol
State: relaxed

```
data_SrLi2Tc
_symmetry_space_group_name_H-M 'P 1'
_symmetry_Int_Tables_number 1
_cell_length_a 10.607
_cell_length_b 10.607
_cell_length_c 10.607
_cell_angle_alpha 16.29
_cell_angle_beta 16.29
_cell_angle_gamma 16.29
loop_
_symmetry_equiv_pos_as_xyz
'x,y,z'
loop_
_atom_site_label
_atom_site_type_symbol
_atom_site_fract_x
_atom_site_fract_y
_atom_site_fract_z
Sr1 Sr 0.000 0.000 0.000
Li1 Li 0.518 0.518 0.518
Li2 Li 0.767 0.767 0.767
Tc1 Tc 0.253 0.253 0.253
```

## Properties
* spin magnetization: 0.01 μB per formula unit
* VASP energy: -0.1291 Ha/atom
* DOS at the Fermi energy: 4.3 states/eV/f.u.
* calculated formation energy: 746.6 meV/atom